# 1
The following is a DFT calculation (PBE) of an optimized crystal structure of Ni2SnMoRh.

Lattice parameters (Å, degrees): 4.512 4.512 5.028 90.00 90.00 90.00
Space group P4/mmm (No. 123)
Symmetry-distinct sites (fractional):
Ni1 0.000 0.500 0.000 x2
Sn1 0.000 0.000 0.000 x1
Mo1 0.000 0.000 0.500 x1
Rh1 0.500 0.500 0.500 x1

Summary:
DFT formation energy: 8.38 eV per formula unit
uncorrected energy: -25.4 eV for the cell shown

---

# 2
The following is a DFT calculation (PBE) of an optimized crystal structure of AlCdInCl6.

Lattice parameters (Å, degrees): 6.5904 6.5904 6.9925 90.00 90.00 120.00
Space group P312 (No. 149)
Symmetry-distinct sites (fractional):
Al1 0.0000 0.0000 0.0000 x1
Cd1 0.6667 0.3333 0.0000 x1
In1 0.3333 0.6667 0.5000 x1
Cl1 0.2987 0.0184 0.1979 x6

Summary:
energy relative to the elements, uncorrected: -1.213 eV per atom
uncorrected energy: -29.4 eV for the cell shown

---

# 3
The following is a DFT calculation (PBE) of an optimized crystal structure of SmDy5Y2Tm.

Lattice parameters (Å, degrees): 5.613 19.742 10.568 90.00 90.00 90.00
Space group Cmc2_1 (No. 36)
Symmetry-distinct sites (fractional):
Sm1 0.000 0.085 0.000 x4
Dy1 0.000 0.020 0.282 x4
Dy2 0.000 0.112 0.566 x4
Dy3 0.000 0.201 0.252 x4
Dy4 0.000 0.218 0.856 x4
Dy5 0.000 0.481 0.567 x4
Y1 0.000 0.386 0.862 x4
Y2 0.000 0.389 0.279 x4
Tm1 0.000 0.299 0.555 x4

Summary:
DFT formation energy: 1.39 eV per formula unit
uncorrected energy: -175.0 eV for the cell shown

---

# 4
The following is a DFT calculation (PBE) of an optimized crystal structure of Bi2PdO6.

Lattice parameters (Å, degrees): 9.689 3.360 7.541 90.00 93.18 90.00
Space group C2/m (No. 12)
Symmetry-distinct sites (fractional):
Bi1 0.228 0.000 0.291 x4
Pd1 0.000 0.500 0.000 x2
O1 0.071 0.500 0.252 x4
O2 0.127 0.000 0.971 x4
O3 0.157 0.000 0.569 x4

Summary:
E above lowest polymorph: 108 meV/atom
energy relative to the elements, uncorrected: -0.631 eV per atom
uncorrected energy: -96.8 eV for the cell shown

---

# 5
The following is a DFT calculation (PBE) of an optimized crystal structure of La3Zn4Cu2.

Lattice parameters (Å, degrees): 10.089 4.589 8.936 90.00 104.08 90.00
Space group C2/m (No. 12)
Symmetry-distinct sites (fractional):
La1 0.000 0.000 0.000 x2
La2 0.122 0.500 0.692 x4
Zn1 0.108 0.000 0.427 x4
Zn2 0.219 0.500 0.070 x4
Cu1 0.174 0.500 0.333 x4

Summary:
DFT formation energy: -2.54 eV per formula unit
uncorrected energy: -61.2 eV for the cell shown

---

# 6
The following is a DFT calculation (PBE) of an optimized crystal structure of Sm2MgSi3Rh4.

Lattice parameters (Å, degrees): 4.139 4.139 10.245 90.00 90.00 90.00
Space group P-4m2 (No. 115)
Symmetry-distinct sites (fractional):
Sm1 0.000 0.500 0.246 x2
Mg1 0.000 0.000 0.500 x1
Si1 0.000 0.500 0.876 x2
Si2 0.500 0.500 0.500 x1
Rh1 0.000 0.000 0.000 x1
Rh2 0.000 0.500 0.643 x2
Rh3 0.500 0.500 0.000 x1

Summary:
energy relative to the elements, uncorrected: -0.953 eV per atom
uncorrected energy: -66.2 eV for the cell shown

---

Question: What is the formula in the fourth record?
Answer: Bi2PdO6

---

Question: Look up the uncorrected energy of the sixth one.
Answer: -66.2 eV for the cell shown

---

Question: uncorrected energy of number 4 (Bi2PdO6)?
Answer: -96.8 eV for the cell shown